The following is a PBE calculation of a relaxed Zr2In2Cu2PdPt crystal, from OQMD via LeMat-Bulk.

Computed properties:
**SG**: P-4m2, No. 115
**Uncorrected energy**: -5.69 eV/atom

a = 4.628 Å, b = 4.628 Å, c = 6.557 Å
α = 90.00°, β = 90.00°, γ = 90.00°
Fractional coordinates of all 8 atoms:
Zr  0.000  0.500  0.246
Zr  0.500  0.000  0.754
In  0.000  0.500  0.744
In  0.500  0.000  0.256
Cu  0.000  0.000  0.000
Cu  0.500  0.500  0.500
Pd  0.000  0.000  0.500
Pt  0.500  0.500  0.000